The following is a DFT calculation (PBE) of a relaxed structure of Te2PtCl.

Results
Energy relative to the elements, uncorrected, meV per atom: 60
Space group: Cmm2 (35)
Magnetization, μB per formula unit: 0.000

Cell: 3.3809 3.3809 10.6352 Å, 90.00 90.00 115.00°
Sites, in units of the cell vectors:
Te  0.0000  0.0000  0.9209
Te  0.5000  0.5000  0.2365
Pt  0.5000  0.5000  0.7502
Cl  0.0000  0.0000  0.5924